Record 1
Density functional theory data (PBE-GGA) for ZrMoRu2 after structural relaxation.

Output
raw total energy = -9.4227 eV/atom
ΔE to the lowest computed polymorph = 178 meV per atom
energy of formation from the pure elements = 0.060 eV/atom

abc: 6.380 6.380 6.380
angles: 90.00 90.00 90.00
Space group F-43m (No. 216)
One atom of each set of equivalent atoms:
Zr (0.000, 0.000, 0.000) x4
Mo (0.250, 0.250, 0.250) x4
Ru (0.000, 0.000, 0.500) x4
Ru (0.250, 0.250, 0.750) x4

Record 2
Density functional theory data (PBE-GGA) for Zr2MoRu2 after structural relaxation.

Output
raw total energy = -9.4568 eV/atom
energy of formation from the pure elements = -0.161 eV/atom

abc: 6.510 6.510 4.375
angles: 90.00 90.00 90.00
Space group P4/mbm (No. 127)
One atom of each set of equivalent atoms:
Zr (0.179, 0.321, 0.000) x4
Mo (0.000, 0.000, 0.500) x2
Ru (0.141, 0.641, 0.500) x4

Record 3
Density functional theory data (PBE-GGA) for Zr2MoRu after structural relaxation.

Output
raw total energy = -9.3780 eV/atom
energy of formation from the pure elements = -0.077 eV/atom

abc: 5.946 8.765 3.011
angles: 90.00 112.51 90.00
Space group C2/m (No. 12)
One atom of each set of equivalent atoms:
Zr (0.250, 0.250, 0.000) x4
Mo (0.000, 0.000, 0.500) x2
Ru (0.000, 0.500, 0.500) x2

Record 4
Density functional theory data (PBE-GGA) for ZrMoRu3 after structural relaxation.

Output
raw total energy = -8.4683 eV/atom
ΔE to the lowest computed polymorph = 0 meV per atom
energy of formation from the pure elements = 0.973 eV/atom

abc: 4.617 4.617 4.617
angles: 90.00 90.00 90.00
Space group Pm-3m (No. 221)
One atom of each set of equivalent atoms:
Zr (0.000, 0.000, 0.000) x1
Mo (0.500, 0.500, 0.500) x1
Ru (0.000, 0.500, 0.500) x3

Record 5
Density functional theory data (PBE-GGA) for Zr3MoRu after structural relaxation.

Output
raw total energy = -8.1021 eV/atom
ΔE to the lowest computed polymorph = 286 meV per atom
energy of formation from the pure elements = 1.048 eV/atom

abc: 4.937 4.937 4.937
angles: 90.00 90.00 90.00
Space group Pm-3m (No. 221)
One atom of each set of equivalent atoms:
Zr (0.000, 0.000, 0.500) x3
Mo (0.000, 0.000, 0.000) x1
Ru (0.500, 0.500, 0.500) x1

Record 6
Density functional theory data (PBE-GGA) for ZrMoRu2 after structural relaxation.

Output
raw total energy = -9.6006 eV/atom
ΔE to the lowest computed polymorph = 0 meV per atom
energy of formation from the pure elements = -0.118 eV/atom

abc: 3.075 4.586 4.637
angles: 90.00 91.73 90.00
Space group Pm (No. 6)
One atom of each set of equivalent atoms:
Zr (0.000, 0.000, 0.000) x1
Mo (0.931, 0.500, 0.467) x1
Ru (0.487, 0.000, 0.513) x1
Ru (0.514, 0.500, 0.965) x1

Record 7
Density functional theory data (PBE-GGA) for Mo3S4 after structural relaxation.

Output
ΔE_f (raw) = -304 kJ/mol of formula units
raw total energy = -7.4500 eV/atom
ΔE to the lowest computed polymorph = 238 meV per atom

abc: 3.179 6.654 12.606
angles: 87.83 90.00 76.26
Space group P-1 (No. 2)
One atom of each set of equivalent atoms:
Mo (0.090, 0.322, 0.483) x2
Mo (0.201, 0.099, 0.261) x2
Mo (0.304, 0.892, 0.928) x2
S (0.067, 0.369, 0.112) x2
S (0.334, 0.833, 0.122) x2
S (0.335, 0.828, 0.395) x2
S (0.418, 0.661, 0.670) x2

Record 8
Density functional theory data (PBE-GGA) for Mo15S19 after structural relaxation.

Output
ΔE_f (raw) = -2144 kJ/mol of formula units
raw total energy = -7.7386 eV/atom

abc: 9.2952 9.2952 19.1850
angles: 90.00 90.00 120.00
Space group P6_3/m (No. 176)
One atom of each set of equivalent atoms:
Mo (0.0166, 0.1768, 0.0629) x12
Mo (0.1590, 0.5047, 0.2500) x6
Mo (0.1723, 0.6831, 0.1296) x12
S (0.0000, 0.0000, 0.1587) x4
S (0.0166, 0.3818, 0.1429) x12
S (0.0287, 0.3147, 0.5476) x12
S (0.0416, 0.6923, 0.2500) x6
S (0.3333, 0.6667, 0.0337) x4

no.,M_tot (μB per atom)
1,0.42
2,0.00
3,0.00
4,0.00
5,0.00
6,0.00
7,0.00
8,0.00